## Tm3TlSb2 (GGA-PBE)

Data for a relaxed Tm3TlSb2 crystal.

abc: 14.134 6.127 8.427
angles: 90.00 107.33 90.00
Space group C2/c (No. 15)
Symmetry-distinct sites (fractional):
Tm 0.000 0.001 0.250 (multiplicity 4)
Tm 0.176 0.500 0.088 (multiplicity 8)
Tl 0.000 0.500 0.250 (multiplicity 4)
Sb 0.164 0.000 0.082 (multiplicity 8)

- Magnetization: 0.0 μB per cell
- Formation energy (no corrections): -0.690 eV/atom
- Energy: -4.6941 eV/atom
- D(E_F): 3.54 states/eV/f.u.
- Volume: 697 Å³ per cell

=====

## Tm6TlSb3 (GGA-PBE)

Data for a relaxed Tm6TlSb3 crystal.

abc: 11.537 11.355 8.338
angles: 90.00 90.00 90.00
Space group Cmcm (No. 63)
Symmetry-distinct sites (fractional):
Tm 0.000 0.158 0.000 (multiplicity 8)
Tm 0.158 0.500 0.000 (multiplicity 8)
Tm 0.249 0.252 0.250 (multiplicity 8)
Tl 0.000 0.353 0.250 (multiplicity 4)
Sb 0.000 0.357 0.750 (multiplicity 4)
Sb 0.147 0.002 0.250 (multiplicity 8)

- Magnetization: 0.0 μB per cell
- Formation energy (no corrections): -0.715 eV/atom
- Energy: -4.8713 eV/atom
- D(E_F): 8.30 states/eV/f.u.
- Volume: 1092 Å³ per cell

=====

## Tm8Tl3Sb2 (GGA-PBE)

Data for a relaxed Tm8Tl3Sb2 crystal.

abc: 8.675 15.971 5.418
angles: 90.00 90.00 90.00
Space group Cmmm (No. 65)
Symmetry-distinct sites (fractional):
Tm 0.000 0.110 0.000 (multiplicity 4)
Tm 0.000 0.320 0.000 (multiplicity 4)
Tm 0.207 0.383 0.500 (multiplicity 8)
Tl 0.000 0.000 0.500 (multiplicity 2)
Tl 0.184 0.500 0.000 (multiplicity 4)
Sb 0.000 0.225 0.500 (multiplicity 4)

- Magnetization: 0.0 μB per cell
- Formation energy (no corrections): -0.259 eV/atom
- Energy: -4.1910 eV/atom
- D(E_F): 10.83 states/eV/f.u.
- Volume: 751 Å³ per cell

=====

## Tm2TlSb (GGA-PBE)

Data for a relaxed Tm2TlSb crystal.

abc: 4.0748 4.0748 24.6885
angles: 90.00 90.00 120.00
Space group R3m (No. 160, hexagonal axes)
Symmetry-distinct sites (fractional):
Tm 0.0000 0.0000 0.0000 (multiplicity 3)
Tm 0.0000 0.0000 0.1815 (multiplicity 3)
Tl 0.0000 0.0000 0.4238 (multiplicity 3)
Sb 0.0000 0.0000 0.5919 (multiplicity 3)

- Magnetization: 0.0 μB per cell
- Formation energy (no corrections): -0.520 eV/atom
- Energy: -4.3783 eV/atom
- Relative energy among the computed polymorphs: 0.268 eV per formula unit
- D(E_F): 1.71 states/eV/f.u.
- Volume: 355 Å³ per cell

=====

## Tm4TlSb2 (GGA-PBE)

Data for a relaxed Tm4TlSb2 crystal.

abc: 5.964 6.569 10.110
angles: 90.00 100.59 90.00
Space group P2_1/m (No. 11)
Symmetry-distinct sites (fractional):
Tm 0.013 0.250 0.169 (multiplicity 2)
Tm 0.142 0.750 0.454 (multiplicity 2)
Tm 0.449 0.005 0.739 (multiplicity 4)
Tl 0.050 0.750 0.157 (multiplicity 2)
Sb 0.315 0.250 0.461 (multiplicity 2)
Sb 0.468 0.250 0.006 (multiplicity 2)

- Magnetization: 0.0 μB per cell
- Formation energy (no corrections): -0.501 eV/atom
- Energy: -4.5722 eV/atom
- D(E_F): 5.53 states/eV/f.u.
- Volume: 389 Å³ per cell

=====

## Tm4Tl2Sb (GGA-PBE)

Data for a relaxed Tm4Tl2Sb crystal.

abc: 9.177 9.177 9.213
angles: 90.00 90.00 90.00
Space group I-42d (No. 122)
Symmetry-distinct sites (fractional):
Tm 0.073 0.679 0.447 (multiplicity 16)
Tl 0.123 0.750 0.125 (multiplicity 8)
Sb 0.000 0.000 0.500 (multiplicity 4)

- Magnetization: 0.0 μB per cell
- Formation energy (no corrections): -0.480 eV/atom
- Energy: -4.2998 eV/atom
- D(E_F): 5.67 states/eV/f.u.
- Volume: 776 Å³ per cell

=====

## Tm7Tl2Sb2 (GGA-PBE)

Data for a relaxed Tm7Tl2Sb2 crystal.

abc: 8.334 10.848 7.425
angles: 90.00 90.00 90.00
Space group Cmmm (No. 65)
Symmetry-distinct sites (fractional):
Tm 0.000 0.000 0.000 (multiplicity 2)
Tm 0.000 0.500 0.266 (multiplicity 4)
Tm 0.250 0.250 0.279 (multiplicity 8)
Tl 0.182 0.000 0.500 (multiplicity 4)
Sb 0.000 0.283 0.000 (multiplicity 4)

- Magnetization: 0.0 μB per cell
- Formation energy (no corrections): -0.223 eV/atom
- Energy: -4.2483 eV/atom
- D(E_F): 14.21 states/eV/f.u.
- Volume: 671 Å³ per cell

=====

## Tm5Tl2Sb (GGA-PBE)

Data for a relaxed Tm5Tl2Sb crystal.

abc: 7.494 7.494 7.739
angles: 90.00 90.00 90.00
Space group I4mm (No. 107)
Symmetry-distinct sites (fractional):
Tm 0.000 0.000 0.000 (multiplicity 2)
Tm 0.233 0.233 0.706 (multiplicity 8)
Tl 0.000 0.500 0.469 (multiplicity 4)
Sb 0.000 0.000 0.402 (multiplicity 2)

- Magnetization: 0.0 μB per cell
- Formation energy (no corrections): -0.288 eV/atom
- Energy: -4.1895 eV/atom
- Relative energy among the computed polymorphs: 1.181 eV per formula unit
- D(E_F): 9.50 states/eV/f.u.
- Volume: 435 Å³ per cell

=====

## Tm2TlSb (GGA-PBE)

Data for a relaxed Tm2TlSb crystal.

abc: 3.920 3.920 6.900
angles: 90.00 90.00 90.00
Space group P4/mmm (No. 123)
Symmetry-distinct sites (fractional):
Tm 0.000 0.000 0.240 (multiplicity 2)
Tl 0.500 0.500 0.500 (multiplicity 1)
Sb 0.500 0.500 0.000 (multiplicity 1)

- Magnetization: 0.0 μB per cell
- Formation energy (no corrections): -0.530 eV/atom
- Energy: -4.3882 eV/atom
- Relative energy among the computed polymorphs: 0.228 eV per formula unit
- D(E_F): 3.43 states/eV/f.u.
- Volume: 106 Å³ per cell

=====

## Tm5Tl2Sb (GGA-PBE)

Data for a relaxed Tm5Tl2Sb crystal.

abc: 8.184 8.184 13.132
angles: 90.00 90.00 90.00
Space group I4/mcm (No. 140)
Symmetry-distinct sites (fractional):
Tm 0.000 0.000 0.000 (multiplicity 4)
Tm 0.153 0.347 0.153 (multiplicity 16)
Tl 0.147 0.353 0.500 (multiplicity 8)
Sb 0.000 0.000 0.250 (multiplicity 4)

- Magnetization: 0.0 μB per cell
- Formation energy (no corrections): -0.436 eV/atom
- Energy: -4.3372 eV/atom
- Relative energy among the computed polymorphs: 0.000 eV per formula unit
- D(E_F): 9.55 states/eV/f.u.
- Volume: 880 Å³ per cell

=====

## Tm4TlSb3 (GGA-PBE)

Data for a relaxed Tm4TlSb3 crystal.

abc: 6.141 6.141 6.141
angles: 90.00 90.00 90.00
Space group Pm-3m (No. 221)
Symmetry-distinct sites (fractional):
Tm 0.000 0.000 0.000 (multiplicity 1)
Tm 0.000 0.500 0.500 (multiplicity 3)
Tl 0.500 0.500 0.500 (multiplicity 1)
Sb 0.000 0.000 0.500 (multiplicity 3)

- Magnetization: 0.0 μB per cell
- Formation energy (no corrections): -0.775 eV/atom
- Energy: -4.8526 eV/atom
- D(E_F): 2.78 states/eV/f.u.
- Volume: 232 Å³ per cell

=====

## TmTlSb (GGA-PBE)

Data for a relaxed TmTlSb crystal.

abc: 4.382 9.070 6.194
angles: 90.00 134.90 90.00
Space group Pc (No. 7)
Symmetry-distinct sites (fractional):
Tm 0.000 0.163 0.000 (multiplicity 2)
Tl 0.494 0.498 0.905 (multiplicity 2)
Sb 0.000 0.174 0.500 (multiplicity 2)

- Magnetization: 0.0 μB per cell
- Formation energy (no corrections): -0.542 eV/atom
- Energy: -4.1956 eV/atom
- D(E_F): 1.02 states/eV/f.u.
- Volume: 174 Å³ per cell

=====

## Tm2TlSb (GGA-PBE)

Data for a relaxed Tm2TlSb crystal.

abc: 7.180 4.094 8.282
angles: 90.00 106.36 90.00
Space group C2/m (No. 12)
Symmetry-distinct sites (fractional):
Tm 0.244 0.000 0.232 (multiplicity 4)
Tl 0.000 0.000 0.500 (multiplicity 2)
Sb 0.000 0.500 0.000 (multiplicity 2)

- Magnetization: 0.0 μB per cell
- Formation energy (no corrections): -0.587 eV/atom
- Energy: -4.4453 eV/atom
- Relative energy among the computed polymorphs: 0.000 eV per formula unit
- D(E_F): 1.39 states/eV/f.u.
- Volume: 234 Å³ per cell

=====

## Tm7Tl4Sb (GGA-PBE)

Data for a relaxed Tm7Tl4Sb crystal.

abc: 14.476 5.629 11.166
angles: 90.00 127.52 90.00
Space group C2/m (No. 12)
Symmetry-distinct sites (fractional):
Tm 0.000 0.000 0.000 (multiplicity 2)
Tm 0.076 0.500 0.311 (multiplicity 4)
Tm 0.149 0.000 0.575 (multiplicity 4)
Tm 0.212 0.500 0.868 (multiplicity 4)
Tl 0.073 0.000 0.778 (multiplicity 4)
Tl 0.217 0.000 0.343 (multiplicity 4)
Sb 0.000 0.500 0.000 (multiplicity 2)

- Magnetization: 0.1 μB per cell
- Formation energy (no corrections): -0.139 eV/atom
- Energy: -3.8800 eV/atom
- D(E_F): 10.22 states/eV/f.u.
- Volume: 722 Å³ per cell

=====

## UTlSb2 (GGA-PBE)

Data for a relaxed UTlSb2 crystal.

abc: 4.6046 4.6046 21.9288
angles: 90.00 90.00 120.00
Space group R3m (No. 160, hexagonal axes)
Symmetry-distinct sites (fractional):
U 0.0000 0.0000 0.0000 (multiplicity 3)
Tl 0.0000 0.0000 0.1694 (multiplicity 3)
Sb 0.0000 0.0000 0.3991 (multiplicity 3)
Sb 0.0000 0.0000 0.5948 (multiplicity 3)

- Magnetization: 3.9 μB per cell
- Formation energy (no corrections): 0.060 eV/atom
- Energy: -5.4143 eV/atom
- Relative energy among the computed polymorphs: 0.757 eV per formula unit
- D(E_F): 7.91 states/eV/f.u.
- Volume: 403 Å³ per cell

=====

## UTlSb2 (GGA-PBE)

Data for a relaxed UTlSb2 crystal.

abc: 4.999 4.999 4.153
angles: 90.00 90.00 90.00
Space group P4/mmm (No. 123)
Symmetry-distinct sites (fractional):
U 0.000 0.000 0.000 (multiplicity 1)
Tl 0.500 0.500 0.000 (multiplicity 1)
Sb 0.000 0.500 0.500 (multiplicity 2)

- Magnetization: 2.0 μB per cell
- Formation energy (no corrections): -0.084 eV/atom
- Energy: -5.5584 eV/atom
- Relative energy among the computed polymorphs: 0.180 eV per formula unit
- D(E_F): 7.09 states/eV/f.u.
- Volume: 104 Å³ per cell

=====

## UTlSb2 (GGA-PBE)

Data for a relaxed UTlSb2 crystal.

abc: 4.4081 4.4081 24.0804
angles: 90.00 90.00 120.00
Space group R-3m (No. 166, hexagonal axes)
Symmetry-distinct sites (fractional):
U 0.0000 0.0000 0.0000 (multiplicity 3)
Tl 0.0000 0.0000 0.5000 (multiplicity 3)
Sb 0.0000 0.0000 0.2639 (multiplicity 6)

- Magnetization: 3.3 μB per cell
- Formation energy (no corrections): 0.042 eV/atom
- Energy: -5.4326 eV/atom
- Relative energy among the computed polymorphs: 0.684 eV per formula unit
- D(E_F): 6.46 states/eV/f.u.
- Volume: 405 Å³ per cell

=====

## UTlSb2 (GGA-PBE)

Data for a relaxed UTlSb2 crystal.

abc: 4.047 4.047 6.714
angles: 90.00 90.00 90.00
Space group P4/mmm (No. 123)
Symmetry-distinct sites (fractional):
U 0.000 0.000 0.000 (multiplicity 1)
Tl 0.000 0.000 0.500 (multiplicity 1)
Sb 0.500 0.500 0.224 (multiplicity 2)

- Magnetization: 2.5 μB per cell
- Formation energy (no corrections): -0.129 eV/atom
- Energy: -5.6035 eV/atom
- Relative energy among the computed polymorphs: 0.000 eV per formula unit
- D(E_F): 5.03 states/eV/f.u.
- Volume: 110 Å³ per cell

=====

## TlVSb (GGA-PBE)

Data for a relaxed TlVSb crystal.

abc: 8.324 3.385 11.515
angles: 90.00 106.45 90.00
Space group C2/m (No. 12)
Symmetry-distinct sites (fractional):
Tl 0.183 0.000 0.116 (multiplicity 4)
V 0.194 0.500 0.557 (multiplicity 4)
Sb 0.049 0.500 0.322 (multiplicity 4)

- Magnetization: 0.0 μB per cell
- Formation energy (no corrections): 0.134 eV/atom
- Energy: -5.0684 eV/atom
- Relative energy among the computed polymorphs: 0.038 eV per formula unit
- D(E_F): 1.22 states/eV/f.u.
- Volume: 311 Å³ per cell

=====

## TlVSb2 (GGA-PBE)

Data for a relaxed TlVSb2 crystal.

abc: 6.349 6.349 13.497
angles: 90.00 90.00 90.00
Space group I-42d (No. 122)
Symmetry-distinct sites (fractional):
Tl 0.000 0.000 0.000 (multiplicity 4)
V 0.000 0.000 0.500 (multiplicity 4)
Sb 0.198 0.250 0.625 (multiplicity 8)

- Magnetization: 7.7 μB per cell
- Formation energy (no corrections): 0.348 eV/atom
- Energy: -4.5849 eV/atom
- Relative energy among the computed polymorphs: 1.180 eV per formula unit
- D(E_F): 2.25 states/eV/f.u.
- Volume: 544 Å³ per cell